Compound: Ca2Ge3Pt4
Source: the Alexandria database
Functional: PBE
Structure: relaxed

Unit cell a=5.778 b=7.444 c=8.215 alpha=90.00 beta=110.59 gamma=90.00
Fractional coordinates of all 18 atoms:
Ca: 0.102 0.596 0.203
Ca: 0.898 0.404 0.797
Ca: 0.398 0.096 0.797
Ca: 0.602 0.904 0.203
Ge: 0.000 0.000 0.000
Ge: 0.500 0.500 0.000
Ge: 0.514 0.750 0.528
Ge: 0.986 0.250 0.472
Ge: 0.486 0.250 0.472
Ge: 0.014 0.750 0.528
Pt: 0.683 0.750 0.865
Pt: 0.817 0.250 0.135
Pt: 0.317 0.250 0.135
Pt: 0.183 0.750 0.865
Pt: 0.179 0.979 0.358
Pt: 0.821 0.021 0.642
Pt: 0.321 0.479 0.642
Pt: 0.679 0.521 0.358

Output
**Fermi-level density of states**: 5.78 states/eV/cell
**Energy relative to the elements**: -798 meV per atom
**Theoretical density**: 10.83 Mg/m³